Ga2CoSnCl: optimized geometry, GGA-PBE.

Cell: 4.6384 4.6384 4.8619 Å, 90.00 90.00 90.00°
Last column: nearest neighbours and their distance in Å.
Atoms (fractional coordinates):
Ga  0.0000  0.5000  0.0000  2 Co 2.32
Ga  0.5000  0.0000  0.0000  2 Co 2.32
Co  0.0000  0.0000  0.0000  4 Ga 2.32, 2 Sn 2.43
Sn  0.0000  0.0000  0.5000  2 Co 2.43
Cl  0.5000  0.5000  0.5000  4 Sn 3.28, 8 Ga 3.36

Calculated values
**Spin magnetization**: 0.000 Bohr magnetons per cell
**Total energy**: -4.19 eV/atom